[1]
Material: Sr2Zr2Re
Method: DFT, PBE-GGA
State: optimized geometry

## Properties
V (Å³/cell): 269.94
ΔH_f (0 K) (meV per atom): 1526
E above lowest polymorph (eV per atom): 0.368
Raw total energy (eV per atom): -5.056
Size of the total moment (μB/atom): 0.00
Density of states at the Fermi level (states/eV/atom): 1.676

a = 7.182 Å, b = 7.182 Å, c = 5.234 Å
α = 90.00°, β = 90.00°, γ = 90.00°
Space group P4/mbm (No. 127)
Inequivalent atoms, fractional coordinates:
Sr  0.146  0.354  0.000
Zr  0.171  0.671  0.500
Re  0.000  0.000  0.000

---

[2]
Material: Mg2TlIn
Method: DFT, PBE-GGA
State: optimized geometry

## Properties
V (Å³/cell): 194.34
ΔH_f (0 K) (meV per atom): -46
Raw total energy (eV per atom): -2.119
Size of the total moment (μB/atom): 0.00
Density of states at the Fermi level (states/eV/atom): 0.367

a = 4.876 Å, b = 4.876 Å, c = 8.174 Å
α = 90.00°, β = 90.00°, γ = 90.00°
Space group I4/mmm (No. 139)
Inequivalent atoms, fractional coordinates:
Mg  0.000  0.500  0.250
Tl  0.000  0.000  0.000
In  0.000  0.000  0.500

---

[3]
Material: Na6Au2O
Method: DFT, PBE-GGA
State: optimized geometry

## Properties
V (Å³/cell): 836.19
Raw total energy (eV per atom): -2.703
Size of the total moment (μB/atom): 0.00
Density of states at the Fermi level (states/eV/atom): 0.194

a = 9.421 Å, b = 9.421 Å, c = 9.421 Å
α = 90.00°, β = 90.00°, γ = 90.00°
Space group Fm-3m (No. 225)
Inequivalent atoms, fractional coordinates:
Na  0.000  0.000  0.238
Au  0.250  0.250  0.250
O  0.000  0.000  0.000

---

[4]
Material: YTlIN2
Method: DFT, PBE-GGA
State: optimized geometry

## Properties
V (Å³/cell): 113.75
E above lowest polymorph (eV per atom): 0.717
Raw total energy (eV per atom): -4.186
Size of the total moment (μB/atom): 0.19
Density of states at the Fermi level (states/eV/atom): 0.360

a = 4.407 Å, b = 4.407 Å, c = 5.857 Å
α = 90.00°, β = 90.00°, γ = 90.00°
Space group P4/mmm (No. 123)
Inequivalent atoms, fractional coordinates:
Y  0.000  0.000  0.000
Tl  0.500  0.500  0.500
I  0.500  0.500  0.000
N  0.000  0.500  0.500